Here is Pr5BiIr2 after structural relaxation from the Alexandria database. Energies are from PBE.

The structure in POSCAR format:
```
Pr5BiIr2
1.0
-4.081 4.081 7.017
4.081 -4.081 7.017
4.081 4.081 -7.017
Pr Bi Ir
10 2 4
Direct
0.000 0.000 0.000 Pr
0.025 0.525 0.815 Pr
0.210 0.025 0.500 Pr
0.290 0.790 0.815 Pr
0.475 0.290 0.500 Pr
0.500 0.500 0.000 Pr
0.525 0.710 0.500 Pr
0.710 0.210 0.185 Pr
0.790 0.975 0.500 Pr
0.975 0.475 0.185 Pr
0.250 0.250 0.000 Bi
0.750 0.750 0.000 Bi
0.140 0.360 0.500 Ir
0.360 0.860 0.220 Ir
0.640 0.140 0.780 Ir
0.860 0.640 0.500 Ir
```

Results
Spin magnetization   0.000 Bohr magnetons per cell
Space group   I4/mcm (140)
Energy of formation from the pure elements   -639 meV/atom